The following is a DFT calculation (GGA+U) of an optimized crystal structure of Ba2CoF.

E above lowest polymorph = 184 meV/atom
D(E_F) = 1.34 states/eV/f.u.
Total moment = 0.00 μB per cell
Energy = -3.16 eV/atom

abc: 7.3289 7.3289 7.3289
angles: 90.00 90.00 90.00
Space group Fm-3m (No. 225)
One atom of each set of equivalent atoms:
1 Ba 0.2500 0.2500 0.2500 (multiplicity 8)
2 Co 0.0000 0.0000 0.0000 (multiplicity 4)
3 F 0.0000 0.0000 0.5000 (multiplicity 4)